Below is HoAgAsO after structural relaxation, with properties calculated at the PBE-GGA level.

Electronic total energy = -41.723 eV per cell
Energy relative to the lowest polymorph listed for this composition = 0.6596 eV/atom

Unit cell a=5.584 b=5.584 c=4.794 alpha=90.00 beta=90.00 gamma=90.00
Space group P4/nmm (No. 129, origin choice 2)
Symmetry-distinct sites (fractional):
Ho 0.250 0.750 0.000 (multiplicity 2)
Ag 0.250 0.250 0.500 (multiplicity 2)
As 0.250 0.250 0.001 (multiplicity 2)
O 0.250 0.750 0.500 (multiplicity 2)